Entry 1:
! LiHg2Sb PBE optimized geometry; values from VASP
&SYSTEM
  ibrav = 0, nat = 4, ntyp = 3
/
ATOMIC_SPECIES
Li 6.94 Li.upf
Hg 200.59 Hg.upf
Sb 121.76 Sb.upf
CELL_PARAMETERS angstrom
3.218 0.000 0.000
0.000 3.218 0.000
0.000 0.000 8.907
ATOMIC_POSITIONS angstrom
Li 0.000 0.000 0.000
Hg 1.609 1.609 1.849
Hg 1.609 1.609 7.059
Sb 0.000 0.000 4.454
! * SG: P4/mmm, No. 123
! * raw formation energy: -144 meV per atom
! * Fermi-level density of states: 1.448 states/eV per cell
! * magnetization: 0.0000 μB per atom

---

Entry 2:
! Li2HgSb2 PBE optimized geometry; values from VASP
&SYSTEM
  ibrav = 0, nat = 5, ntyp = 3
/
ATOMIC_SPECIES
Li 6.94 Li.upf
Hg 200.59 Hg.upf
Sb 121.76 Sb.upf
CELL_PARAMETERS angstrom
-2.281 2.281 5.889
2.281 -2.281 5.889
2.281 2.281 -5.889
ATOMIC_POSITIONS angstrom
Li 2.281 0.000 2.944
Li 0.000 2.281 2.944
Hg 0.000 0.000 0.000
Sb 0.000 0.000 4.513
Sb 0.000 0.000 7.264
! * SG: I4/mmm, No. 139
! * raw formation energy: -108 meV per atom
! * Fermi-level density of states: 3.091 states/eV per cell
! * magnetization: 0.0000 μB per atom
! * offset from the most stable computed form: 187.1 meV/atom

---

Entry 3:
! Li3Hg4Sb PBE optimized geometry; values from VASP
&SYSTEM
  ibrav = 0, nat = 8, ntyp = 3
/
ATOMIC_SPECIES
Li 6.94 Li.upf
Hg 200.59 Hg.upf
Sb 121.76 Sb.upf
CELL_PARAMETERS angstrom
8.312 -2.297 0.000
8.312 2.297 0.000
-1.232 0.000 4.408
ATOMIC_POSITIONS angstrom
Li 0.000 0.000 0.000
Li 3.877 0.000 1.111
Li 11.514 0.000 3.297
Hg 1.530 0.000 2.811
Hg 4.929 0.000 3.795
Hg 10.462 0.000 0.614
Hg 13.862 0.000 1.598
Sb 7.696 0.000 2.204
! * SG: C2/m, No. 12
! * raw formation energy: -272 meV per atom
! * Fermi-level density of states: 2.694 states/eV per cell
! * magnetization: 0.0000 μB per atom
! * offset from the most stable computed form: 0.0 meV/atom